Record 1
Computed, not measured: a relaxed LiCo3 crystal at the PBE level of DFT.

Cell and atoms, written as CIF:
```
data_LiCo3
_chemical_formula_sum 'Li1 Co3'
_cell_length_a 2.4264
_cell_length_b 4.0917
_cell_length_c 4.4158
_cell_angle_alpha 90.00
_cell_angle_beta 90.00
_cell_angle_gamma 90.00
_symmetry_space_group_name_H-M 'P m m 2'
_symmetry_Int_Tables_number 25
loop_
_symmetry_equiv_pos_as_xyz
'x,y,z'
'-x,-y,z'
'-x,y,z'
'x,-y,z'
loop_
_atom_site_label
_atom_site_type_symbol
_atom_site_fract_x
_atom_site_fract_y
_atom_site_fract_z
_atom_site_occupancy
Li1 Li 0.0000 0.0000 0.0000 1
Co1 Co 0.0000 0.5000 0.3135 1
Co2 Co 0.5000 0.0000 0.4997 1
Co3 Co 0.5000 0.5000 0.8108 1
```

Values from the calculation:
Density: 6.96 g cm⁻³
Final energy: -22.730 eV/cell
Energy of formation from the pure elements: 0.125 eV/atom

=====

Record 2
Computed, not measured: a relaxed LiCo3 crystal at the PBE level of DFT.

Cell and atoms, written as CIF:
```
data_LiCo3
_chemical_formula_sum 'Li1 Co3'
_cell_length_a 2.4996
_cell_length_b 2.4996
_cell_length_c 8.4200
_cell_angle_alpha 90.00
_cell_angle_beta 90.00
_cell_angle_gamma 120.00
_symmetry_space_group_name_H-M 'P -6 m 2'
_symmetry_Int_Tables_number 187
_symmetry_space_group_name_Hall 'P -6 2'
loop_
_atom_site_label
_atom_site_type_symbol
_atom_site_fract_x
_atom_site_fract_y
_atom_site_fract_z
_atom_site_occupancy
Li1 Li 0.0000 0.0000 0.0000 1
Co1 Co 0.0000 0.0000 0.5000 1
Co2 Co 0.3333 0.6667 0.2632 1
```

Values from the calculation:
Density: 6.70 g cm⁻³
Final energy: -22.836 eV/cell
Energy of formation from the pure elements: 0.099 eV/atom

=====

Record 3
Computed, not measured: a relaxed LiCo3 crystal at the PBE level of DFT.

Cell and atoms, written as CIF:
```
data_LiCo3
_chemical_formula_sum 'Li2 Co6'
_cell_length_a 4.9201
_cell_length_b 7.3798
_cell_length_c 2.4230
_cell_angle_alpha 90.00
_cell_angle_beta 90.00
_cell_angle_gamma 90.00
_symmetry_space_group_name_H-M 'C m m m'
_symmetry_Int_Tables_number 65
_symmetry_space_group_name_Hall '-C 2 2'
loop_
_atom_site_label
_atom_site_type_symbol
_atom_site_fract_x
_atom_site_fract_y
_atom_site_fract_z
_atom_site_occupancy
Li1 Li 0.0000 0.0000 0.0000 1
Co1 Co 0.0000 0.5000 0.0000 1
Co2 Co 0.2500 0.2500 0.5000 1
```

Values from the calculation:
Density: 6.94 g cm⁻³
Final energy: -45.268 eV/cell
Energy of formation from the pure elements: 0.149 eV/atom

=====

Record 4
Computed, not measured: a relaxed LiCo3 crystal at the PBE level of DFT.

Cell and atoms, written as CIF:
```
data_LiCo3
_chemical_formula_sum 'Li1 Co3'
_cell_length_a 2.4601
_cell_length_b 2.4601
_cell_length_c 7.6252
_cell_angle_alpha 90.00
_cell_angle_beta 90.00
_cell_angle_gamma 90.00
_symmetry_space_group_name_H-M 'P 4/m m m'
_symmetry_Int_Tables_number 123
_symmetry_space_group_name_Hall '-P 4 2'
loop_
_atom_site_label
_atom_site_type_symbol
_atom_site_fract_x
_atom_site_fract_y
_atom_site_fract_z
_atom_site_occupancy
Li1 Li 0.0000 0.0000 0.0000 1
Co1 Co 0.0000 0.0000 0.5000 1
Co2 Co 0.5000 0.5000 0.2698 1
```

Values from the calculation:
Density: 6.61 g cm⁻³
Final energy: -22.655 eV/cell
Energy of formation from the pure elements: 0.144 eV/atom

=====

Record 5
Computed, not measured: a relaxed LiCo3 crystal at the PBE level of DFT.

Cell and atoms, written as CIF:
```
data_LiCo3
_chemical_formula_sum 'Li4 Co12'
_cell_length_a 7.9790
_cell_length_b 5.6368
_cell_length_c 3.9435
_cell_angle_alpha 90.00
_cell_angle_beta 90.00
_cell_angle_gamma 90.00
_symmetry_space_group_name_H-M 'C m c m'
_symmetry_Int_Tables_number 63
_symmetry_space_group_name_Hall '-C 2c 2'
loop_
_atom_site_label
_atom_site_type_symbol
_atom_site_fract_x
_atom_site_fract_y
_atom_site_fract_z
_atom_site_occupancy
Li1 Li 0.0000 0.1112 0.2500 1
Co1 Co 0.0000 0.3798 0.7500 1
Co2 Co 0.2417 0.3701 0.2500 1
```

Values from the calculation:
Density: 6.88 g cm⁻³
Final energy: -91.029 eV/cell
Energy of formation from the pure elements: 0.119 eV/atom

=====

Record 6
Computed, not measured: a relaxed Li3Co4 crystal at the PBE level of DFT.

Cell and atoms, written as CIF:
```
data_Li3Co4
_chemical_formula_sum 'Li6 Co8'
_cell_length_a 2.7478
_cell_length_b 2.7478
_cell_length_c 23.3560
_cell_angle_alpha 90.00
_cell_angle_beta 90.00
_cell_angle_gamma 90.00
_symmetry_space_group_name_H-M 'I 4/m m m'
_symmetry_Int_Tables_number 139
_symmetry_space_group_name_Hall '-I 4 2'
loop_
_atom_site_label
_atom_site_type_symbol
_atom_site_fract_x
_atom_site_fract_y
_atom_site_fract_z
_atom_site_occupancy
Li1 Li 0.0000 0.0000 0.0000 1
Li2 Li 0.0000 0.0000 0.2989 1
Co1 Co 0.0000 0.0000 0.1255 1
Co2 Co 0.0000 0.0000 0.4294 1
```

Values from the calculation:
Density: 4.83 g cm⁻³
Final energy: -66.032 eV/cell
Energy of formation from the pure elements: 0.164 eV/atom